No. 1
RbPuSn2: optimized geometry, PBE.

Geometry as CIF:
```
data_RbPuSn2
_chemical_formula_sum 'Rb1 Pu1 Sn2'
_cell_length_a 3.412
_cell_length_b 3.412
_cell_length_c 10.507
_cell_angle_alpha 90.00
_cell_angle_beta 90.00
_cell_angle_gamma 90.00
_symmetry_space_group_name_H-M 'P 1'
_symmetry_Int_Tables_number 1
loop_
_symmetry_equiv_pos_as_xyz
'x,y,z'
loop_
_atom_site_label
_atom_site_fract_x
_atom_site_fract_y
_atom_site_fract_z
_atom_site_occupancy
Rb1 0.000 0.000 0.000 1
Pu1 0.000 0.000 0.500 1
Sn1 0.500 0.500 0.279 1
Sn2 0.500 0.500 0.721 1
```

Summary:
As for the energy above the most stable polymorph in this dataset: 0.000 eV/f.u. As for the density of states at the Fermi level: 7.66 states/eV per cell. The value obtained for the energy relative to the elements is -0.19 eV per atom.

No. 2
Dy2ErHgO: optimized geometry, PBE.

Geometry as CIF:
```
data_Dy2ErHgO
_chemical_formula_sum 'Dy2 Er1 Hg1 O1'
_cell_length_a 4.759
_cell_length_b 4.759
_cell_length_c 4.716
_cell_angle_alpha 90.00
_cell_angle_beta 90.00
_cell_angle_gamma 90.00
_symmetry_space_group_name_H-M 'P 1'
_symmetry_Int_Tables_number 1
loop_
_symmetry_equiv_pos_as_xyz
'x,y,z'
loop_
_atom_site_label
_atom_site_fract_x
_atom_site_fract_y
_atom_site_fract_z
_atom_site_occupancy
Dy1 0.000 0.500 0.000 1
Dy2 0.500 0.000 0.000 1
Er1 0.000 0.000 0.500 1
Hg1 0.500 0.500 0.500 1
O1 0.000 0.000 0.000 1
```

Summary:
For the formation energy from raw total energies, the calculation gives -6.96 eV/f.u. As for the density of states at the Fermi level: 2.33 states/eV per cell.

No. 3
CuHPdPt: optimized geometry, PBE.

Geometry as CIF:
```
data_CuHPdPt
_chemical_formula_sum 'Cu1 H1 Pd1 Pt1'
_cell_length_a 4.860
_cell_length_b 4.860
_cell_length_c 4.860
_cell_angle_alpha 146.55
_cell_angle_beta 132.10
_cell_angle_gamma 59.68
_symmetry_space_group_name_H-M 'P 1'
_symmetry_Int_Tables_number 1
loop_
_symmetry_equiv_pos_as_xyz
'x,y,z'
loop_
_atom_site_label
_atom_site_fract_x
_atom_site_fract_y
_atom_site_fract_z
_atom_site_occupancy
Cu1 0.000 0.000 0.000 1
H1 0.478 0.978 0.500 1
Pd1 0.665 0.665 0.000 1
Pt1 0.333 0.333 0.000 1
```

Summary:
As for the energy above the most stable polymorph in this dataset: 0.000 eV/f.u. As for the density of states at the Fermi level: 2.01 states/eV per cell.

No. 4
KPmP2O6: optimized geometry, PBE.

Geometry as CIF:
```
data_KPmP2O6
_chemical_formula_sum 'K2 Pm2 P4 O12'
_cell_length_a 6.643
_cell_length_b 6.643
_cell_length_c 8.000
_cell_angle_alpha 101.38
_cell_angle_beta 101.38
_cell_angle_gamma 112.96
_symmetry_space_group_name_H-M 'P 1'
_symmetry_Int_Tables_number 1
loop_
_symmetry_equiv_pos_as_xyz
'x,y,z'
loop_
_atom_site_label
_atom_site_fract_x
_atom_site_fract_y
_atom_site_fract_z
_atom_site_occupancy
K1 0.127 0.873 0.750 1
K2 0.873 0.127 0.250 1
Pm1 0.287 0.713 0.250 1
Pm2 0.713 0.287 0.750 1
P1 0.254 0.449 0.770 1
P2 0.449 0.254 0.270 1
P3 0.551 0.746 0.730 1
P4 0.746 0.551 0.230 1
O1 0.028 0.329 0.613 1
O2 0.180 0.530 0.933 1
O3 0.293 0.371 0.292 1
O4 0.329 0.028 0.113 1
O5 0.371 0.293 0.792 1
O6 0.470 0.820 0.567 1
O7 0.530 0.180 0.433 1
O8 0.629 0.707 0.208 1
O9 0.671 0.972 0.887 1
O10 0.707 0.629 0.708 1
O11 0.820 0.470 0.067 1
O12 0.972 0.671 0.387 1
```

Summary:
For the formation energy from raw total energies, the calculation gives -25.16 eV/f.u. As for the density of states at the Fermi level: 0.00 states/eV per cell.

No. 5
BePb: optimized geometry, PBE.

Geometry as CIF:
```
data_BePb
_chemical_formula_sum 'Be6 Pb6'
_cell_length_a 9.422
_cell_length_b 9.422
_cell_length_c 3.992
_cell_angle_alpha 90.00
_cell_angle_beta 90.00
_cell_angle_gamma 120.00
_symmetry_space_group_name_H-M 'P 1'
_symmetry_Int_Tables_number 1
loop_
_symmetry_equiv_pos_as_xyz
'x,y,z'
loop_
_atom_site_label
_atom_site_fract_x
_atom_site_fract_y
_atom_site_fract_z
_atom_site_occupancy
Be1 0.016 0.553 0.250 1
Be2 0.447 0.463 0.250 1
Be3 0.463 0.016 0.750 1
Be4 0.537 0.984 0.250 1
Be5 0.553 0.537 0.750 1
Be6 0.984 0.447 0.750 1
Pb1 0.177 0.759 0.750 1
Pb2 0.241 0.418 0.750 1
Pb3 0.418 0.177 0.250 1
Pb4 0.582 0.823 0.750 1
Pb5 0.759 0.582 0.250 1
Pb6 0.823 0.241 0.250 1
```

Summary:
As for the energy above the most stable polymorph in this dataset: 0.452 eV/f.u. As for the density of states at the Fermi level: 3.78 states/eV per cell. The value obtained for the energy relative to the elements is 0.53 eV per atom.

No. 6
TbCeNdN3: optimized geometry, PBE.

Geometry as CIF:
```
data_TbCeNdN3
_chemical_formula_sum 'Tb2 Ce2 Nd2 N6'
_cell_length_a 6.101
_cell_length_b 3.528
_cell_length_c 9.249
_cell_angle_alpha 90.00
_cell_angle_beta 101.51
_cell_angle_gamma 90.00
_symmetry_space_group_name_H-M 'P 1'
_symmetry_Int_Tables_number 1
loop_
_symmetry_equiv_pos_as_xyz
'x,y,z'
loop_
_atom_site_label
_atom_site_fract_x
_atom_site_fract_y
_atom_site_fract_z
_atom_site_occupancy
Tb1 0.233 0.250 0.456 1
Tb2 0.767 0.750 0.544 1
Ce1 0.152 0.750 0.144 1
Ce2 0.848 0.250 0.856 1
Nd1 0.335 0.750 0.801 1
Nd2 0.665 0.250 0.199 1
N1 0.038 0.250 0.654 1
N2 0.253 0.250 0.003 1
N3 0.459 0.750 0.335 1
N4 0.541 0.250 0.665 1
N5 0.747 0.750 0.997 1
N6 0.962 0.750 0.346 1
```

Summary:
For the formation energy from raw total energies, the calculation gives -7.90 eV/f.u. As for the density of states at the Fermi level: 6.49 states/eV per cell.

No. 7
AgRhBr2: optimized geometry, PBE.

Geometry as CIF:
```
data_AgRhBr2
_chemical_formula_sum 'Ag1 Rh1 Br2'
_cell_length_a 5.342
_cell_length_b 3.616
_cell_length_c 6.931
_cell_angle_alpha 90.00
_cell_angle_beta 112.61
_cell_angle_gamma 90.00
_symmetry_space_group_name_H-M 'P 1'
_symmetry_Int_Tables_number 1
loop_
_symmetry_equiv_pos_as_xyz
'x,y,z'
loop_
_atom_site_label
_atom_site_fract_x
_atom_site_fract_y
_atom_site_fract_z
_atom_site_occupancy
Ag1 0.000 0.000 0.000 1
Rh1 0.500 0.000 0.000 1
Br1 0.372 0.500 0.739 1
Br2 0.628 0.500 0.261 1
```

Summary:
For the formation energy from raw total energies, the calculation gives -0.13 eV/f.u. As for the energy above the most stable polymorph in this dataset: 0.187 eV/f.u.